# CeAl2Pd2

A relaxed CeAl2Pd2 crystal (GGA-PBEsol, Alexandria).

Unit cell a=4.225 b=4.225 c=10.318 alpha=90.00 beta=90.00 gamma=90.00
Space group P4/nmm (No. 129, origin choice 2)
Symmetry-distinct sites (fractional):
Ce 0.250 0.250 0.248 (multiplicity 2)
Al 0.250 0.250 0.627 (multiplicity 2)
Al 0.250 0.750 0.000 (multiplicity 2)
Pd 0.250 0.250 0.866 (multiplicity 2)
Pd 0.250 0.750 0.500 (multiplicity 2)

Computed properties:
The calculation puts the density of states at the Fermi level at 1.3645 states/eV/atom. Its formation enthalpy at 0 K is -0.765 eV/atom. The total magnetization is 0.6 μB per formula unit.